(1)
6
Lattice="-3.126 0.281 1.221 1.175 -0.480 3.120 1.342 10.268 1.075" Properties=species:S:1:pos:R:3 comment="Zr3TlTc2 (PBE, relaxed)" magmom_total_mub_per_atom=0.00 dft_energy_ev_per_atom=-8.421 density_g_cm3=9.478 pbc="T T T"
Tc 0.151 8.521 3.073
Zr 0.408 3.124 0.327
Tc -0.760 1.547 2.343
Tl -0.305 5.034 2.708
Zr 0.933 7.143 0.748
Zr 0.000 0.000 0.000

---

(2)
5
Lattice="3.986 0.000 0.000 0.000 3.986 0.000 0.000 0.000 3.728" Properties=species:S:1:pos:R:3 comment="ScCoHRu2 (PBE, relaxed)" magmom_total_mub_per_atom=0.13 dft_energy_ev_per_atom=-7.187 density_g_cm3=8.607 pbc="T T T"
H 0.000 0.000 0.000
Ru 0.000 1.993 0.000
Co 0.000 0.000 1.864
Ru 1.993 0.000 0.000
Sc 1.993 1.993 1.864